Computed, not measured: crystalline Al2CrAgO at its relaxed geometry at the PBE+U level of DFT.

Lattice parameters (Å, degrees): 5.1003 5.1003 3.9456 90.00 90.00 90.00
Atoms (fractional coordinates):
Al  0.0000  0.5000  0.0000
Al  0.5000  0.0000  0.0000
Cr  0.0000  0.0000  0.5000
Ag  0.5000  0.5000  0.0000
O  0.5000  0.5000  0.5000

Computed properties:
Magnetization, μB per formula unit: 1.189
Electronic total energy, eV/atom: -3.455